(1)
18
Lattice="6.720 0.000 -0.178 0.000 6.722 0.000 0.252 0.000 9.511" Properties=species:S:1:pos:R:3 comment="Pu6In2H PBE optimized geometry" dft_energy_ha_per_atom=-0.390 spacegroup="Fm-3m, No. 225" pbc="T T T"
Pu 5.303 5.053 9.376
Pu 5.154 1.692 4.623
Pu 1.668 5.053 -0.044
Pu 5.154 5.030 4.623
Pu 3.548 3.361 7.029
Pu 1.817 5.030 4.710
Pu 3.424 3.361 2.304
Pu 1.668 1.669 -0.044
Pu 1.818 1.692 4.710
Pu 5.304 1.669 9.377
Pu 6.782 6.722 2.184
Pu 0.190 0.000 7.149
In 6.783 3.361 2.200
In 3.549 0.000 7.044
In 3.423 6.722 2.288
In 0.189 3.361 7.133
H 3.360 3.361 -0.089
H 0.126 0.000 4.755

(2)
4
Lattice="-5.163 3.272 0.571 -5.497 0.946 2.565 0.565 3.028 3.628" Properties=species:S:1:pos:R:3 comment="CrIn2Au PBE optimized geometry" spacegroup="Cm, No. 8" relative_energy_ev_per_atom=0.020 pbc="T T T"
Cr -2.457 1.712 1.586
In -10.226 4.235 3.229
In -7.626 5.364 4.982
Au -5.496 3.776 3.485

(3)
3
Lattice="-3.438 2.871 -2.534 -0.618 -0.915 5.027 1.802 2.804 0.732" Properties=species:S:1:pos:R:3 comment="Tl2P PBE optimized geometry" spacegroup="P-3m1, No. 164" relative_energy_ev_per_atom=0.278 pbc="T T T"
P 0.000 0.000 0.000
Tl -1.066 1.113 2.706
Tl -1.189 3.646 0.518

(4)
11
Lattice="-0.210 5.490 -4.926 -5.382 -2.999 -3.115 -4.455 2.439 5.353" Properties=species:S:1:pos:R:3 comment="Ce7Sn2Pb2 PBE optimized geometry" dft_energy_ha_per_atom=-0.196 spacegroup="Cmmm, No. 65" pbc="T T T"
Ce -6.081 1.877 -1.959
Ce -3.966 3.054 -0.729
Ce -5.965 -0.863 0.509
Ce -1.749 1.828 -3.411
Ce -4.082 5.794 -3.197
Ce -8.298 3.103 0.723
Ce 0.000 0.000 0.000
Pb -6.580 5.112 -1.202
Pb -3.467 -0.181 -1.487
Sn -3.255 3.301 2.448
Sn -6.792 1.629 -5.136

What is the formula in the third record?
Tl2P